Crystalline CsTbZnF6 at its relaxed geometry. Source: Alexandria via LeMat-Bulk, functional PBE.

Energy relative to the elements, uncorrected ... -3232.1 meV/atom
Uncorrected energy ... -5.231 eV per atom
D(E_F) ... 0.00 states/eV per atom

Cell lengths 7.7399, 8.2064, 11.1069 Å; angles 90.00, 90.00, 90.00 degrees
Space group Imma (No. 74)
Unique sites:
Cs1 0.0000 0.2500 0.0712 (multiplicity 4)
Tb1 0.0000 0.0000 0.5000 (multiplicity 4)
Zn1 0.2500 0.2500 0.7500 (multiplicity 4)
F1 0.0000 0.2500 0.4203 (multiplicity 4)
F2 0.0000 0.2500 0.7958 (multiplicity 4)
F3 0.2132 0.0697 0.6188 (multiplicity 16)


Crystalline CsTcF2 at its relaxed geometry. Source: Alexandria via LeMat-Bulk, functional PBE.

Energy relative to the elements, uncorrected ... -1233.0 meV/atom
Uncorrected energy ... -4.974 eV per atom
Excess energy over the best structure of this formula in the dataset ... 0.000 eV per atom
D(E_F) ... 0.29 states/eV per atom

Cell lengths 3.9140, 3.9140, 23.0406 Å; angles 90.00, 90.00, 120.00 degrees
Space group R-3m (No. 166, hexagonal axes)
Unique sites:
Cs1 0.0000 0.0000 0.0000 (multiplicity 3)
Tc1 0.0000 0.0000 0.5000 (multiplicity 3)
F1 0.0000 0.0000 0.4118 (multiplicity 6)


- Among the records above, which one has the lowest uncorrected energy?
  CsTbZnF6